# 1
Below is crystalline Ba2CeMg at its relaxed geometry, with properties calculated at the GGA-PBE level.

POSCAR file:
```
Ba2CeMg
1.0
1.894 1.093 13.335
-1.894 1.093 13.335
0.000 -2.187 13.335
Ba Ce Mg
2 1 1
direct
0.091 0.091 0.091
0.909 0.909 0.909
0.000 0.000 0.000
0.500 0.500 0.500
```

## Properties
The calculation puts the energy relative to the elements at 0.403 eV per atom. The space group is R-3m.

---

# 2
Below is crystalline Ba2CeMgO5 at its relaxed geometry, with properties calculated at the GGA-PBE level.

POSCAR file:
```
Ba2CeMgO5
1.0
1.898 -7.029 0.000
1.898 7.029 0.000
0.000 0.000 11.606
Ba Ce Mg O
4 2 2 10
direct
0.109 0.891 0.500
0.148 0.852 0.102
0.852 0.148 0.602
0.891 0.109 0.000
0.458 0.542 0.281
0.542 0.458 0.781
0.229 0.771 0.839
0.771 0.229 0.339
0.073 0.927 0.866
0.282 0.718 0.451
0.314 0.686 0.206
0.379 0.621 0.823
0.495 0.505 0.605
0.505 0.495 0.105
0.621 0.379 0.323
0.686 0.314 0.706
0.718 0.282 0.951
0.927 0.073 0.366
```

## Properties
The formation energy (no corrections) comes out at -24.4 eV/f.u. The space group is Cmc2_1.

---

# 3
Below is crystalline BaCeMgO4 at its relaxed geometry, with properties calculated at the GGA-PBE level.

POSCAR file:
```
BaCeMgO4
1.0
2.736 -6.562 0.000
2.736 6.562 0.000
0.000 0.000 5.783
Ba Ce Mg O
2 2 2 8
direct
0.100 0.900 0.750
0.900 0.100 0.250
0.373 0.627 0.750
0.627 0.373 0.250
0.238 0.762 0.250
0.762 0.238 0.750
0.000 0.500 0.000
0.000 0.500 0.500
0.089 0.911 0.250
0.470 0.530 0.250
0.500 0.000 0.000
0.500 0.000 0.500
0.530 0.470 0.750
0.911 0.089 0.750
```

## Properties
The formation energy (no corrections) comes out at -19.1 eV/f.u. The space group is Cmcm.

---

# 4
Below is crystalline BaCeMgPb at its relaxed geometry, with properties calculated at the GGA-PBE level.

POSCAR file:
```
BaCeMgPb
1.0
0.000 4.100 4.100
4.100 0.000 4.100
4.100 4.100 0.000
Ba Ce Mg Pb
1 1 1 1
direct
0.000 0.000 0.000
0.500 0.500 0.500
0.250 0.250 0.250
0.750 0.750 0.750
```

## Properties
The calculation puts the energy relative to the elements at -0.142 eV per atom. The space group is F-43m.

---

| no. | size of the total moment (μB per formula unit) |
| --- | --- |
| 1 | 1.8 |
| 2 | 0.1 |
| 3 | 0.0 |
| 4 | 1.8 |